The following is a GGA+U calculation of a relaxed PaZnCr2O6 crystal, from Alexandria.

```
PaZnCr2O6
1.0
5.2405 0.0000 0.0000
2.6054 4.8333 0.0000
0.0527 2.8635 4.8328
Pa Zn Cr O
1 1 2 6
Cartesian
0.0000 0.0000 0.0000
5.3141 6.1742 2.4767
2.6510 4.5708 4.2011
5.2449 3.1048 1.8592
1.6443 3.0272 0.6995
3.4319 6.5115 3.1426
4.4861 4.7365 0.9869
3.7053 3.0243 3.2570
4.1529 1.7051 0.8505
6.0784 4.3878 3.2294
```

Properties
DFT total energy (eV/atom): -7.8144
SG: P1